P:
Compound: NiIrPt2
Source: the Alexandria database
Functional: meta-GGA SCAN
Structure: PBEsol geometry

Lattice parameters (Å, degrees): 2.6763 4.5548 5.2568 115.67 104.75 90.00
Last column: nearest neighbours and their distance in Å.
Sites, in units of the cell vectors:
Ir (0.5142, 0.5142, 0.0284)  2 Ni 2.49, 6 Pt 2.65-2.71, 2 Ir 2.68
Ni (0.2453, 0.7453, 0.4907)  2 Ir 2.49, 6 Pt 2.56-2.64, 2 Ni 2.68
Pt (0.9859, 0.9859, 0.9719)  2 Ni 2.56, 4 Ir 2.65, 4 Pt 2.68-2.78
Pt (0.7545, 0.2545, 0.5091)  4 Ni 2.64, 4 Pt 2.68-2.78, 2 Ir 2.71

Properties
Total magnetic moment   0.0004 μB/atom
SG   Imm2
Crystal system   orthorhombic



Q:
Compound: NiIrPt2
Source: the Alexandria database
Functional: meta-GGA SCAN
Structure: PBEsol geometry

Lattice parameters (Å, degrees): 2.7126 2.7126 7.4057 90.00 90.00 90.00
Last column: nearest neighbours and their distance in Å.
Sites, in units of the cell vectors:
Ir (0.0000, 0.0000, 0.5191)  4 Ni 2.53, 4 Ir 2.71, 4 Pt 2.73
Ni (0.5000, 0.5000, 0.7428)  4 Ir 2.53, 4 Pt 2.61, 4 Ni 2.71
Pt (0.5000, 0.5000, 0.2571)  8 Pt 2.71-2.80, 4 Ir 2.73
Pt (0.0000, 0.0000, 0.9810)  4 Ni 2.61, 8 Pt 2.71-2.80

Properties
Total magnetic moment   0.0003 μB/atom
SG   P4mm
Crystal system   tetragonal



Most stable of them? Q.



P:
Compound: KOsBr2
Source: the Alexandria database
Functional: meta-GGA SCAN
Structure: PBEsol geometry

Lattice parameters (Å, degrees): 5.2854 5.2854 5.2854 60.00 60.00 60.00
Last column: nearest neighbours and their distance in Å.
Sites, in units of the cell vectors:
Br (0.0000, 0.0000, 0.0000)  4 Br 3.24, 4 Os 3.24
Os (0.2500, 0.2500, 0.2500)  4 Br 3.24, 4 K 3.24
K (0.5000, 0.5000, 0.5000)  4 Br 3.24, 4 Os 3.24
Br (0.7500, 0.7500, 0.7500)  4 K 3.24, 4 Br 3.24

Properties
Total magnetic moment   0.8593 μB/atom
SG   F-43m
Crystal system   cubic



Q:
Compound: KOsBr2
Source: the Alexandria database
Functional: meta-GGA SCAN
Structure: PBEsol geometry

Lattice parameters (Å, degrees): 4.0045 4.0045 6.9677 106.70 106.70 90.00
Last column: nearest neighbours and their distance in Å.
Sites, in units of the cell vectors:
Br (0.7500, 0.2500, 0.5000)  4 Os 2.83
Br (0.0000, 0.0000, 0.0000)  4 K 2.83
Os (0.2500, 0.7500, 0.5000)  4 Br 2.83
K (0.5000, 0.5000, 0.0000)  4 Br 2.83

Properties
Total magnetic moment   0.7490 μB/atom
SG   I-4m2
Crystal system   tetragonal



Most stable of them? Q.



P:
Compound: MgZr2Cl
Source: the Alexandria database
Functional: meta-GGA SCAN
Structure: PBEsol geometry

Lattice parameters (Å, degrees): 4.1056 4.1056 5.6546 111.29 111.29 90.00
Last column: nearest neighbours and their distance in Å.
Sites, in units of the cell vectors:
Cl (0.5000, 0.5000, 0.0000)  8 Zr 2.90-3.18, 4 Mg 3.18
Mg (0.2500, 0.7500, 0.5000)  8 Zr 2.90-3.18, 4 Cl 3.18
Zr (0.7500, 0.2500, 0.5000)  4 Mg 2.90, 4 Zr 3.18, 4 Cl 3.18
Zr (0.0000, 0.0000, 0.0000)  4 Cl 2.90, 4 Zr 3.18, 4 Mg 3.18

Properties
Total magnetic moment   0.0000 μB/atom
SG   I-4m2
Crystal system   tetragonal



Q:
Compound: MgZr2Cl
Source: the Alexandria database
Functional: meta-GGA SCAN
Structure: PBEsol geometry

Lattice parameters (Å, degrees): 3.0850 4.6698 5.7245 90.00 90.00 90.00
Last column: nearest neighbours and their distance in Å.
Sites, in units of the cell vectors:
Cl (0.5000, 0.5000, 0.0000)  2 Mg 2.86, 2 Cl 3.09, 8 Zr 3.16
Zr (0.0000, 0.0000, 0.2561)  4 Zr 2.79-3.09, 4 Mg 3.13
Mg (0.5000, 0.5000, 0.5000)  2 Cl 2.86, 2 Mg 3.09, 8 Zr 3.13
Zr (0.0000, 0.0000, 0.7439)  4 Zr 2.79-3.09, 4 Mg 3.13

Properties
Total magnetic moment   0.0000 μB/atom
SG   Pmmm
Crystal system   orthorhombic



Most stable of them? Q.



P:
Compound: Li3Pt
Source: the Alexandria database
Functional: meta-GGA SCAN
Structure: PBEsol geometry

Lattice parameters (Å, degrees): 3.7767 3.7767 3.7767 90.00 90.00 90.00
Last column: nearest neighbours and their distance in Å.
Sites, in units of the cell vectors:
Pt (0.5000, 0.5000, 0.5000)  12 Li 2.67
Li (0.0000, 0.0000, 0.5000)  4 Pt 2.67, 8 Li 2.67
Li (0.5000, 0.0000, 0.0000)  8 Li 2.67, 4 Pt 2.67
Li (0.0000, 0.5000, 0.0000)  8 Li 2.67, 4 Pt 2.67

Properties
Total magnetic moment   0.0002 μB/atom
SG   Pm-3m
Crystal system   cubic



Q:
Compound: Li3Pt
Source: the Alexandria database
Functional: meta-GGA SCAN
Structure: PBEsol geometry

Lattice parameters (Å, degrees): 4.3075 4.3075 6.6586 108.87 108.87 90.00
Last column: nearest neighbours and their distance in Å.
Sites, in units of the cell vectors:
Li (0.1417, 0.1417, 0.2834)  8 Li 2.51-2.73
Li (0.5000, 0.0000, 0.0000)  4 Pt 2.57, 4 Li 2.73
Pt (0.6178, 0.6178, 0.2355)  9 Li 2.57-2.85, 1 Pt 2.79
Pt (0.3822, 0.3822, 0.7645)  9 Li 2.57-2.85, 1 Pt 2.79
Li (0.2500, 0.7500, 0.5000)  4 Li 2.51, 4 Pt 2.66
Li (0.0000, 0.5000, 0.0000)  4 Pt 2.57, 4 Li 2.73
Li (0.8583, 0.8583, 0.7166)  8 Li 2.51-2.73
Li (0.7500, 0.2500, 0.5000)  4 Li 2.51, 4 Pt 2.66

Properties
Total magnetic moment   0.0000 μB/atom
SG   I4/mmm
Crystal system   tetragonal



Most stable of them? Q.



P:
Compound: La5Sc
Source: the Alexandria database
Functional: meta-GGA SCAN
Structure: PBEsol geometry

Lattice parameters (Å, degrees): 3.5602 3.5602 17.6162 90.00 90.00 120.00
Last column: nearest neighbours and their distance in Å.
Sites, in units of the cell vectors:
La (0.3333, 0.6667, 0.8283)  12 La 3.56-3.71
La (0.0000, 0.0000, 0.0000)  12 La 3.56-3.66
La (0.0000, 0.0000, 0.3467)  3 Sc 3.39, 9 La 3.56-3.71
La (0.0000, 0.0000, 0.6533)  3 Sc 3.39, 9 La 3.56-3.71
Sc (0.3333, 0.6667, 0.5000)  6 La 3.39, 6 Sc 3.56
La (0.3333, 0.6667, 0.1717)  12 La 3.56-3.71

Properties
Total magnetic moment   0.0018 μB/atom
SG   P-6m2
Crystal system   hexagonal



Q:
Compound: La5Sc
Source: the Alexandria database
Functional: meta-GGA SCAN
Structure: PBEsol geometry

Lattice parameters (Å, degrees): 5.7715 6.2290 6.2290 120.00 90.00 90.00
Last column: nearest neighbours and their distance in Å.
Sites, in units of the cell vectors:
La (0.0000, 0.6846, 0.0000)  10 La 3.40-3.70, 2 Sc 3.49
Sc (0.5000, 0.0000, 0.0000)  12 La 3.49-3.60
La (0.0000, 0.3154, 0.3154)  10 La 3.40-3.70, 2 Sc 3.49
La (0.5000, 0.3333, 0.6667)  9 La 3.59-3.60, 3 Sc 3.60
La (0.5000, 0.6667, 0.3333)  9 La 3.59-3.60, 3 Sc 3.60
La (0.0000, 0.0000, 0.6846)  10 La 3.40-3.70, 2 Sc 3.49

Properties
Total magnetic moment   0.0000 μB/atom
SG   P-62m
Crystal system   hexagonal



Most stable of them? Q.



P:
Compound: CaFe2Os
Source: the Alexandria database
Functional: meta-GGA SCAN
Structure: PBEsol geometry

Lattice parameters (Å, degrees): 4.3574 4.3574 4.3574 60.00 60.00 60.00
Last column: nearest neighbours and their distance in Å.
Sites, in units of the cell vectors:
Fe (0.0000, 0.0000, 0.0000)  4 Os 2.67, 4 Fe 2.67
Fe (0.2500, 0.2500, 0.2500)  4 Ca 2.67, 4 Fe 2.67
Os (0.7500, 0.7500, 0.7500)  4 Fe 2.67, 4 Ca 2.67
Ca (0.5000, 0.5000, 0.5000)  4 Fe 2.67, 4 Os 2.67

Properties
Total magnetic moment   1.5851 μB/atom
SG   F-43m
Crystal system   cubic



Q:
Compound: CaFe2Os
Source: the Alexandria database
Functional: meta-GGA SCAN
Structure: PBEsol geometry

Lattice parameters (Å, degrees): 2.8841 2.8841 7.2352 90.00 90.00 90.00
Last column: nearest neighbours and their distance in Å.
Sites, in units of the cell vectors:
Ca (0.5000, 0.5000, 0.7554)  4 Ca 2.88, 4 Fe 3.04, 4 Os 3.07
Fe (0.0000, 0.0000, 0.0675)  4 Fe 2.39
Os (0.0000, 0.0000, 0.4376)  5 Fe 2.49-2.68
Fe (0.5000, 0.5000, 0.2395)  4 Fe 2.39, 4 Os 2.49

Properties
Total magnetic moment   1.1673 μB/atom
SG   P4mm
Crystal system   tetragonal



Most stable of them? Q.



P:
Compound: BeCrTe2I
Source: the Alexandria database
Functional: meta-GGA SCAN
Structure: PBEsol geometry

Lattice parameters (Å, degrees): 4.9354 4.9354 5.1680 90.00 90.00 90.00
Last column: nearest neighbours and their distance in Å.
Sites, in units of the cell vectors:
Cr (0.5000, 0.5000, 0.5000)  4 I 3.49, 8 Te 3.57
Te (0.5000, 0.0000, 0.0000)  2 Be 2.47
I (0.0000, 0.0000, 0.5000)  2 Be 2.58
Be (0.0000, 0.0000, 0.0000)  4 Te 2.47, 2 I 2.58
Te (0.0000, 0.5000, 0.0000)  2 Be 2.47

Properties
Total magnetic moment   0.7593 μB/atom
SG   P4/mmm
Crystal system   tetragonal



Q:
Compound: BeCrTe2I
Source: the Alexandria database
Functional: meta-GGA SCAN
Structure: PBEsol geometry

Lattice parameters (Å, degrees): 5.0691 5.0691 5.4780 90.00 90.00 90.00
Last column: nearest neighbours and their distance in Å.
Sites, in units of the cell vectors:
Cr (0.0000, 0.0000, 0.0000)  4 Te 2.53, 2 I 2.74
I (0.0000, 0.0000, 0.5000)  2 Cr 2.74
Te (0.0000, 0.5000, 0.0000)  2 Cr 2.53
Be (0.5000, 0.5000, 0.5000)  4 I 3.58, 8 Te 3.73
Te (0.5000, 0.0000, 0.0000)  2 Cr 2.53

Properties
Total magnetic moment   0.2959 μB/atom
SG   P4/mmm
Crystal system   tetragonal



Most stable of them? P.



P:
Compound: Pt2RhW
Source: the Alexandria database
Functional: meta-GGA SCAN
Structure: PBEsol geometry

Lattice parameters (Å, degrees): 2.7441 2.7441 7.8325 90.00 90.00 90.00
Last column: nearest neighbours and their distance in Å.
Sites, in units of the cell vectors:
Pt (0.5000, 0.5000, 0.2552)  8 Pt 2.74-2.84, 4 Rh 2.79
Pt (0.0000, 0.0000, 0.9901)  4 W 2.74, 8 Pt 2.74-2.84
Rh (0.0000, 0.0000, 0.5109)  4 W 2.66, 4 Rh 2.74, 4 Pt 2.79
W (0.5000, 0.5000, 0.7438)  4 Rh 2.66, 4 Pt 2.74, 4 W 2.74

Properties
Total magnetic moment   0.0000 μB/atom
SG   P4mm
Crystal system   tetragonal



Q:
Compound: Pt2RhW
Source: the Alexandria database
Functional: meta-GGA SCAN
Structure: PBEsol geometry

Lattice parameters (Å, degrees): 4.3865 4.3865 4.3865 60.00 60.00 60.00
Last column: nearest neighbours and their distance in Å.
Sites, in units of the cell vectors:
Pt (0.7500, 0.7500, 0.7500)  4 Rh 2.69, 4 W 2.69
Pt (0.2500, 0.2500, 0.2500)  4 W 2.69, 4 Rh 2.69
Rh (0.0000, 0.0000, 0.0000)  8 Pt 2.69
W (0.5000, 0.5000, 0.5000)  8 Pt 2.69

Properties
Total magnetic moment   0.0000 μB/atom
SG   Fm-3m
Crystal system   cubic



Most stable of them? P.